A geometry-optimized Hf3RhN structure, computed with PBE.

Unit cell a=4.372 b=4.372 c=4.372 alpha=90.00 beta=90.00 gamma=90.00
Space group Pm-3m (No. 221)
Unique sites:
Hf  0.000  0.000  0.500
Rh  0.500  0.500  0.500
N  0.000  0.000  0.000

## Properties
DOS at the Fermi energy ... 3.1 states/eV per cell
Raw formation energy ... -0.9671 eV per atom
Raw total energy ... -50.372 eV per formula unit